## KThCd2 (PBE-GGA)

Data for an optimized crystal structure of KThCd2.

a b c (Å): 3.624 3.624 9.656
angles (deg): 90.00 90.00 90.00
Fractional positions:
K: 0.000 0.000 0.000
Th: 0.000 0.000 0.500
Cd: 0.500 0.500 0.279
Cd: 0.500 0.500 0.721

Computed properties:
total magnetic moment = 0.002 μB per cell
E_form = 0.02 eV/atom